# PBE+U NiCF2, relaxed
# Density of states at the Fermi level in states/eV/atom: 0.49
# Energy in eV/atom: -3.34
data_NiCF2
_chemical_formula_sum 'Ni4 C4 F8'
_cell_length_a 5.224
_cell_length_b 5.224
_cell_length_c 10.434
_cell_angle_alpha 90.00
_cell_angle_beta 90.00
_cell_angle_gamma 90.00
_symmetry_space_group_name_H-M 'I -4 2 d'
_symmetry_Int_Tables_number 122
_symmetry_space_group_name_Hall 'I -4 2bw'
loop_
_atom_site_label
_atom_site_type_symbol
_atom_site_fract_x
_atom_site_fract_y
_atom_site_fract_z
_atom_site_occupancy
Ni1 Ni 0.000 0.000 0.000 1
C1 C 0.000 0.000 0.500 1
F1 F 0.092 0.250 0.125 1